No. 1
Compound: Li3ClO
Source: Alexandria via LeMat-Bulk
Functional: PBE-GGA
Structure: relaxed

Unit cell a=3.8813 b=3.8813 c=3.8813 alpha=90.00 beta=90.00 gamma=90.00
Fractional coordinates of all 5 atoms:
Li: 0.0000 0.0000 0.5000
Li: 0.0000 0.5000 0.0000
Li: 0.5000 0.0000 0.0000
Cl: 0.5000 0.5000 0.5000
O: 0.0000 0.0000 0.0000

Computed properties:
* calculated density: 2053 kg/m3
* formation energy (no corrections): -1823 meV/atom
* excess energy over the best structure of this formula in the dataset: 0 meV per atom
* space-group type: Pm-3m (221)

No. 2
Compound: Mn2TlCd
Source: Alexandria via LeMat-Bulk
Functional: PBE-GGA
Structure: relaxed

Unit cell a=3.1663 b=3.1663 c=7.7258 alpha=90.00 beta=90.00 gamma=90.00
Fractional coordinates of all 4 atoms:
Mn: 0.0000 0.0000 0.0000
Mn: 0.5000 0.5000 0.1985
Tl: 0.0000 0.0000 0.4566
Cd: 0.5000 0.5000 0.7687

Computed properties:
* ΔE_f: 0.3838 eV per atom
* calculated density: 9147 kg/m3
* space-group type: P4mm (99)

No. 3
Compound: SrCu2Pb2
Source: Alexandria via LeMat-Bulk
Functional: PBE-GGA
Structure: relaxed

Unit cell a=7.9958 b=7.9958 c=3.8071 alpha=90.00 beta=90.00 gamma=90.00
Fractional coordinates of all 10 atoms:
Sr: 0.0000 0.0000 0.0000
Sr: 0.5000 0.5000 0.0000
Cu: 0.1110 0.3890 0.0000
Cu: 0.3890 0.8890 0.0000
Cu: 0.6110 0.1110 0.0000
Cu: 0.8890 0.6110 0.0000
Pb: 0.1740 0.6740 0.5000
Pb: 0.3260 0.1740 0.5000
Pb: 0.6740 0.8260 0.5000
Pb: 0.8260 0.3260 0.5000

Computed properties:
* ΔE_f: 0.0182 eV per atom
* calculated density: 8584 kg/m3
* space-group type: P4/mbm (127)

No. 4
Compound: RbHfRu3
Source: Alexandria via LeMat-Bulk
Functional: PBE-GGA
Structure: relaxed

Unit cell a=4.6547 b=4.6547 c=4.6547 alpha=90.00 beta=90.00 gamma=90.00
Fractional coordinates of all 5 atoms:
Rb: 0.0000 0.0000 0.0000
Hf: 0.5000 0.5000 0.5000
Ru: 0.0000 0.0000 0.5000
Ru: 0.0000 0.5000 0.0000
Ru: 0.5000 0.0000 0.0000

Computed properties:
* ΔE_f: 2.5464 eV per atom
* calculated density: 9338 kg/m3
* excess energy over the best structure of this formula in the dataset: 1086 meV per atom
* space-group type: Pm-3m (221)

No. 5
Compound: Cd2Ni2Bi
Source: Alexandria via LeMat-Bulk
Functional: PBE-GGA
Structure: relaxed

Unit cell a=6.7598 b=6.7598 c=6.7598 alpha=145.99 beta=145.99 gamma=48.86
Fractional coordinates of all 5 atoms:
Cd: 0.2500 0.7500 0.5000
Cd: 0.7500 0.2500 0.5000
Ni: 0.0956 0.0956 0.0000
Ni: 0.9044 0.9044 0.0000
Bi: 0.5000 0.5000 0.0000

Computed properties:
* ΔE_f: 0.2131 eV per atom
* calculated density: 9512 kg/m3
* excess energy over the best structure of this formula in the dataset: 93 meV per atom
* space-group type: I4/mmm (139)

No. 6
Compound: ErAsP2Rh5
Source: Alexandria via LeMat-Bulk
Functional: PBE-GGA
Structure: relaxed

Unit cell a=3.9727 b=3.9727 c=9.9702 alpha=90.00 beta=90.00 gamma=90.00
Fractional coordinates of all 9 atoms:
Er: 0.0000 0.0000 0.0000
As: 0.0000 0.0000 0.5000
P: 0.5000 0.5000 0.2269
P: 0.5000 0.5000 0.7731
Rh: 0.0000 0.5000 0.3444
Rh: 0.0000 0.5000 0.6556
Rh: 0.5000 0.0000 0.3444
Rh: 0.5000 0.0000 0.6556
Rh: 0.5000 0.5000 0.0000

Computed properties:
* ΔE_f: -0.7090 eV per atom
* calculated density: 8639 kg/m3
* space-group type: P4/mmm (123)

Number 1: D(E_F) 0.0 states/eV/f.u., total magnetization 0.0 μB/f.u.. Number 2: D(E_F) 1.7 states/eV/f.u., total magnetization 7.4 μB/f.u.. Number 3: D(E_F) 4.1 states/eV/f.u., total magnetization 0.0 μB/f.u.. Number 4: D(E_F) 7.4 states/eV/f.u., total magnetization 0.0 μB/f.u.. Number 5: D(E_F) 3.4 states/eV/f.u., total magnetization 0.0 μB/f.u.. Number 6: D(E_F) 2.8 states/eV/f.u., total magnetization 0.0 μB/f.u..